# 1
First-principles (PBEsol) data for a geometry-optimized ErNiP structure, as listed in Alexandria via LeMat-Bulk.

extended XYZ file:
```
6
Lattice="3.8331 0.0000 0.0000 -1.9165 3.3195 0.0000 0.0000 0.0000 7.5007" Properties=species:S:1:pos:R:3 pbc="T T T"
Er 0.0000 0.0000 0.0000
Er 0.0000 0.0000 3.7503
Ni 0.0000 2.2130 1.8752
Ni 1.9165 1.1065 5.6255
P 0.0000 2.2130 5.6255
P 1.9165 1.1065 1.8752
```

DFT total energy, eV/cell: -41.5
E_form, eV/f.u.: -3.9
Volume, Å³/cell: 95

# 2
First-principles (PBEsol) data for a geometry-optimized Cu2HgW structure, as listed in Alexandria via LeMat-Bulk.

extended XYZ file:
```
4
Lattice="4.1310 0.0000 0.0000 0.0000 1.3497 5.2073 0.0000 -1.3497 5.2073" Properties=species:S:1:pos:R:3 pbc="T T T"
Cu 0.0000 0.0000 0.0000
Cu 2.0655 0.0000 1.3619
Hg 2.0655 0.0000 4.0439
W 0.0000 0.0000 7.5760
```

DFT total energy, eV/cell: -21.2
E_form, eV/f.u.: 1.9
Volume, Å³/cell: 58

# 3
First-principles (PBEsol) data for a geometry-optimized Ba12Cl5F19 structure, as listed in Alexandria via LeMat-Bulk.

extended XYZ file:
```
36
Lattice="14.0305 0.0000 0.0000 -7.0152 12.1508 0.0000 0.0000 0.0000 4.2300" Properties=species:S:1:pos:R:3 pbc="T T T"
Ba -2.6065 4.5145 0.0000
Ba -5.7663 9.9876 0.0000
Ba -2.5049 8.3792 2.1150
Ba 1.2489 2.1632 0.0000
Ba 1.0111 5.7919 2.1150
Ba 5.2129 0.0000 0.0000
Ba 4.5104 3.7716 2.1150
Ba 1.4938 10.1305 2.1150
Ba 4.4088 7.6362 0.0000
Ba 8.5090 2.0203 2.1150
Ba 11.5327 0.0000 0.0000
Ba 8.0263 6.3589 2.1150
Cl -1.3095 2.2681 2.1150
Cl 2.6189 0.0000 2.1150
Cl 0.0000 8.1005 0.0000
Cl 7.0153 4.0503 0.0000
Cl 5.7058 9.8827 2.1150
F 0.0000 0.0000 0.0000
F -3.9268 6.8014 0.0000
F -5.0455 8.7391 2.1150
F -1.6469 5.9117 2.1150
F -3.1035 9.7968 0.0000
F 0.0827 4.5647 0.0000
F 1.9697 3.4116 2.1150
F -1.0721 10.6212 2.1150
F 3.9118 2.3540 0.0000
F 3.0885 5.3494 0.0000
F 5.9431 1.5296 2.1150
F 2.7190 7.7687 2.1150
F 7.8535 0.0000 0.0000
F 3.0207 9.9401 0.0000
F 5.3684 6.2391 2.1150
F 10.0911 0.0000 2.1150
F 10.0360 2.2107 0.0000
F 7.0980 7.5861 0.0000
F 9.7343 4.3821 2.1150
```

DFT total energy, eV/cell: -202.5
Volume, Å³/cell: 721
E_form (uncorrected), eV/f.u.: -130.06

# 4
First-principles (PBEsol) data for a geometry-optimized NiHg2P structure, as listed in Alexandria via LeMat-Bulk.

extended XYZ file:
```
4
Lattice="2.8569 0.0000 0.0000 0.0000 2.9993 0.0000 0.0000 0.0000 8.6633" Properties=species:S:1:pos:R:3 pbc="T T T"
Ni 0.0000 0.0000 0.0000
Hg 0.0000 0.0000 6.0547
Hg 1.4284 1.4997 3.5290
P 1.4284 1.4997 0.8638
```

DFT total energy, eV/cell: -13.2
E_form, eV/f.u.: -0.1
Volume, Å³/cell: 74

# 5
First-principles (PBEsol) data for a geometry-optimized ZrScTl2 structure, as listed in Alexandria via LeMat-Bulk.

extended XYZ file:
```
4
Lattice="-2.0060 2.2119 5.0518 2.0060 -2.2119 5.0518 2.0060 2.2119 -5.0518" Properties=species:S:1:pos:R:3 pbc="T T T"
Zr 0.0000 0.0000 0.0000
Sc 2.0060 0.0000 2.5347
Tl 0.0000 0.0000 5.0962
Tl 0.0000 2.2119 2.4793
```

DFT total energy, eV/cell: -21.8
E_form, eV/f.u.: -0.9
Volume, Å³/cell: 90

# 6
First-principles (PBEsol) data for a geometry-optimized BeCrF3 structure, as listed in Alexandria via LeMat-Bulk.

extended XYZ file:
```
5
Lattice="3.6039 0.0000 0.0000 0.0000 3.6039 0.0000 0.0000 0.0000 3.6039" Properties=species:S:1:pos:R:3 pbc="T T T"
Be 0.0000 0.0000 0.0000
Cr 1.8019 1.8019 1.8019
F 0.0000 0.0000 1.8019
F 0.0000 1.8019 0.0000
F 1.8019 0.0000 0.0000
```

DFT total energy, eV/cell: -29.5
Volume, Å³/cell: 47
E_form (uncorrected), eV/f.u.: -9.44

# 7
First-principles (PBEsol) data for a geometry-optimized Mg2InAg structure, as listed in Alexandria via LeMat-Bulk.

extended XYZ file:
```
4
Lattice="-2.1689 2.1689 4.2237 2.1689 -2.1689 4.2237 2.1689 2.1689 -4.2237" Properties=species:S:1:pos:R:3 pbc="T T T"
Mg 2.1689 0.0000 2.1119
Mg 0.0000 2.1689 2.1119
In 0.0000 0.0000 0.0000
Ag 0.0000 0.0000 4.2237
```

DFT total energy, eV/cell: -10.3
E_form, eV/f.u.: -0.6
Volume, Å³/cell: 79

# 8
First-principles (PBEsol) data for a geometry-optimized Ca7Mg2N6 structure, as listed in Alexandria via LeMat-Bulk.

extended XYZ file:
```
15
Lattice="3.0189 -6.2879 0.0000 3.0189 6.2879 0.0000 -0.5024 0.0000 6.3264" Properties=species:S:1:pos:R:3 pbc="T T T"
Ca 0.0000 0.0000 0.0000
Ca 2.7677 4.7491 3.1632
Ca 2.0131 2.1720 1.1103
Ca 3.5222 2.1720 5.2161
Ca 2.0131 -2.1720 1.1103
Ca 3.5222 -2.1720 5.2161
Ca 2.7677 -4.7491 3.1632
Mg 1.9538 0.0000 4.2722
Mg 3.5815 0.0000 2.0542
N 1.1598 1.8230 5.0910
N 1.3630 0.0000 2.1536
N 1.1598 -1.8230 5.0910
N 4.3756 1.8230 1.2354
N 4.1724 0.0000 4.1728
N 4.3756 -1.8230 1.2354
```

DFT total energy, eV/cell: -82.0
Volume, Å³/cell: 240
E_form (uncorrected), eV/f.u.: -12.46